# FeNi3H

FeNi3H after structural relaxation (PBE-GGA, Alexandria via LeMat-Bulk).

a = 4.3029 Å, b = 4.3029 Å, c = 4.3029 Å
α = 90.00°, β = 90.00°, γ = 90.00°
Fractional coordinates of all 5 atoms:
Fe  0.0000  0.0000  0.0000
Ni  0.0000  0.0000  0.5000
Ni  0.0000  0.5000  0.0000
Ni  0.5000  0.0000  0.0000
H  0.5000  0.5000  0.5000

## Properties
Crystal system ... cubic
Space-group type ... No. 221
Total moment ... 5.0 Bohr magnetons per cell
Calculated density ... 4.855 g/cm3
Energy above the lowest structure with this stoichiometry ... 1617 meV/atom
Calculated total energy ... -4.2696 eV/atom


# Cs2ZrW

Cs2ZrW after structural relaxation (PBE-GGA, Alexandria via LeMat-Bulk).

a = 5.9273 Å, b = 5.9273 Å, c = 5.9273 Å
α = 60.00°, β = 60.00°, γ = 60.00°
Fractional coordinates of all 4 atoms:
Cs  0.2500  0.2500  0.2500
Cs  0.7500  0.7500  0.7500
Zr  0.0000  0.0000  0.0000
W  0.5000  0.5000  0.5000

## Properties
Crystal system ... cubic
Space-group type ... No. 225
Total moment ... 1.2 Bohr magnetons per cell
Calculated density ... 6.099 g/cm3
Calculated total energy ... -3.3994 eV/atom


# Sr2TcTe

Sr2TcTe after structural relaxation (PBE-GGA, Alexandria via LeMat-Bulk).

a = 5.5661 Å, b = 5.5661 Å, c = 3.9590 Å
α = 90.00°, β = 90.00°, γ = 90.00°
Fractional coordinates of all 4 atoms:
Sr  0.0000  0.5000  0.0000
Sr  0.5000  0.0000  0.0000
Tc  0.0000  0.0000  0.5000
Te  0.5000  0.5000  0.5000

## Properties
Crystal system ... tetragonal
Space-group type ... No. 123
ΔE_f (raw) ... 4.6 kJ per mole of atoms
Total moment ... 2.9 Bohr magnetons per cell
Calculated density ... 5.427 g/cm3
Calculated total energy ... -4.1704 eV/atom


# CoSeCl2

CoSeCl2 after structural relaxation (PBE-GGA, Alexandria via LeMat-Bulk).

a = 6.8206 Å, b = 6.8206 Å, c = 3.1230 Å
α = 90.00°, β = 90.00°, γ = 137.40°
Fractional coordinates of all 4 atoms:
Co  0.0000  0.0000  0.0000
Se  0.5000  0.5000  0.0000
Cl  0.1239  0.8761  0.5000
Cl  0.8761  0.1239  0.5000

## Properties
Crystal system ... orthorhombic
Space-group type ... No. 65
ΔE_f (raw) ... -20.7 kJ per mole of atoms
Total moment ... 0.5 Bohr magnetons per cell
Calculated density ... 3.526 g/cm3
Energy above the lowest structure with this stoichiometry ... 31 meV/atom
Calculated total energy ... -3.7857 eV/atom


# Sr4Al5Zn2

Sr4Al5Zn2 after structural relaxation (PBE-GGA, Alexandria via LeMat-Bulk).

a = 7.7744 Å, b = 3.7592 Å, c = 10.4095 Å
α = 90.00°, β = 100.44°, γ = 90.00°
Fractional coordinates of all 11 atoms:
Sr  0.1431  0.0000  0.3721
Sr  0.2705  0.0000  0.9171
Sr  0.7295  0.0000  0.0829
Sr  0.8569  0.0000  0.6279
Al  0.2490  0.5000  0.6454
Al  0.4249  0.5000  0.2167
Al  0.5000  0.5000  0.5000
Al  0.5751  0.5000  0.7833
Al  0.7510  0.5000  0.3546
Zn  0.0913  0.5000  0.1155
Zn  0.9087  0.5000  0.8845

## Properties
Crystal system ... monoclinic
Space-group type ... No. 10
Total moment ... 0.0 Bohr magnetons per cell
Calculated density ... 3.420 g/cm3
Calculated total energy ... -2.6358 eV/atom


# DyTc2Ge3

DyTc2Ge3 after structural relaxation (PBE-GGA, Alexandria via LeMat-Bulk).

a = 6.0700 Å, b = 6.0700 Å, c = 5.9143 Å
α = 90.00°, β = 90.00°, γ = 78.31°
Fractional coordinates of all 12 atoms:
Dy  0.1384  0.8616  0.7500
Dy  0.8616  0.1384  0.2500
Tc  0.2855  0.2855  0.0000
Tc  0.2855  0.2855  0.5000
Tc  0.7145  0.7145  0.0000
Tc  0.7145  0.7145  0.5000
Ge  0.0550  0.6266  0.2500
Ge  0.3734  0.9450  0.2500
Ge  0.4906  0.5094  0.2500
Ge  0.5094  0.4906  0.7500
Ge  0.6266  0.0550  0.7500
Ge  0.9450  0.3734  0.7500

## Properties
Crystal system ... orthorhombic
Space-group type ... No. 63
Total moment ... 0.0 Bohr magnetons per cell
Calculated density ... 8.971 g/cm3
Energy above the lowest structure with this stoichiometry ... 54 meV/atom
Calculated total energy ... -6.8270 eV/atom


# TbCeCd4

TbCeCd4 after structural relaxation (PBE-GGA, Alexandria via LeMat-Bulk).

a = 6.0618 Å, b = 6.0618 Å, c = 5.0744 Å
α = 114.67°, β = 114.67°, γ = 92.39°
Fractional coordinates of all 6 atoms:
Tb  0.0000  0.0000  0.0000
Ce  0.5000  0.5000  0.5000
Cd  0.0841  0.4173  0.7507
Cd  0.4173  0.0841  0.7507
Cd  0.5827  0.9159  0.2493
Cd  0.9159  0.5827  0.2493

## Properties
Crystal system ... monoclinic
Space-group type ... No. 12
Total moment ... 1.2 Bohr magnetons per cell
Calculated density ... 8.366 g/cm3
Energy above the lowest structure with this stoichiometry ... 8 meV/atom
Calculated total energy ... -2.6453 eV/atom


# Sr5Cd2F12

Sr5Cd2F12 after structural relaxation (PBE-GGA, Alexandria via LeMat-Bulk).

a = 7.6458 Å, b = 7.6458 Å, c = 8.1781 Å
α = 105.17°, β = 105.17°, γ = 46.75°
Fractional coordinates of all 19 atoms:
Sr  0.0000  0.0000  0.0000
Sr  0.3188  0.3188  0.1498
Sr  0.3209  0.3209  0.6692
Sr  0.6791  0.6791  0.3308
Sr  0.6812  0.6812  0.8502
Cd  0.2783  0.7217  0.5000
Cd  0.7217  0.2783  0.5000
F  0.0045  0.0045  0.3069
F  0.0735  0.6004  0.9251
F  0.0779  0.5561  0.3994
F  0.3996  0.9265  0.0749
F  0.4439  0.9221  0.6006
F  0.4998  0.4998  0.1856
F  0.5002  0.5002  0.8144
F  0.5561  0.0779  0.3994
F  0.6004  0.0735  0.9251
F  0.9221  0.4439  0.6006
F  0.9265  0.3996  0.0749
F  0.9955  0.9955  0.6931

## Properties
Crystal system ... monoclinic
Space-group type ... No. 12
ΔE_f (raw) ... -320.7 kJ per mole of atoms
Total moment ... 0.0 Bohr magnetons per cell
Calculated density ... 4.432 g/cm3
Calculated total energy ... -5.0449 eV/atom


# Ce6As3Se2Cl

Ce6As3Se2Cl after structural relaxation (PBE-GGA, Alexandria via LeMat-Bulk).

a = 9.3697 Å, b = 9.3697 Å, c = 8.3696 Å
α = 102.47°, β = 102.47°, γ = 25.97°
Fractional coordinates of all 12 atoms:
Ce  0.0011  0.0011  0.2458
Ce  0.3317  0.3317  0.4183
Ce  0.3340  0.3340  0.9141
Ce  0.6660  0.6660  0.0859
Ce  0.6683  0.6683  0.5817
Ce  0.9989  0.9989  0.7542
As  0.1665  0.1665  0.3341
As  0.5000  0.5000  0.0000
As  0.8335  0.8335  0.6659
Se  0.1662  0.1662  0.8329
Se  0.8338  0.8338  0.1671
Cl  0.5000  0.5000  0.5000

## Properties
Crystal system ... monoclinic
Space-group type ... No. 12
ΔE_f (raw) ... -153.1 kJ per mole of atoms
Total moment ... 5.4 Bohr magnetons per cell
Calculated density ... 6.661 g/cm3
Calculated total energy ... -6.4512 eV/atom